# 1
Compound: Nd4GaRh
Source: the Alexandria database
Functional: PBE-GGA
Structure: optimized geometry

Summary:
- Offset from the most stable computed form: 30 meV per atom
- Symmetry: C2/c
- Volume: 342.4 Å³/cell
- DOS(E_F): 13.0 states/eV per cell
- Formation energy from the elements: -0.43 eV/atom

POSCAR file:
```
Nd4GaRh
1.0
4.518 -6.952 0.000
4.518 6.952 0.000
-3.063 0.000 5.451
Nd Ga Rh
8 2 2
Direct
0.063 0.694 0.912
0.223 0.355 0.690
0.306 0.937 0.588
0.355 0.223 0.190
0.645 0.777 0.810
0.694 0.063 0.412
0.777 0.645 0.310
0.937 0.306 0.088
0.373 0.627 0.250
0.627 0.373 0.750
0.001 0.999 0.750
0.999 0.001 0.250
```

=====

# 2
Compound: LiCu2Ru
Source: the Alexandria database
Functional: PBE-GGA
Structure: optimized geometry

Summary:
- Offset from the most stable computed form: 135 meV per atom
- Symmetry: P4/mmm
- Volume: 52.6 Å³/cell
- DOS(E_F): 3.6 states/eV per cell
- Formation energy from the elements: 0.17 eV/atom

POSCAR file:
```
LiCu2Ru
1.0
2.545 0.000 0.000
0.000 2.545 0.000
0.000 0.000 8.122
Li Cu Ru
1 2 1
Direct
0.000 0.000 0.000
0.500 0.500 0.252
0.500 0.500 0.748
0.000 0.000 0.500
```

=====

# 3
Compound: LaCr2Fe
Source: the Alexandria database
Functional: PBE-GGA
Structure: optimized geometry

Summary:
- Offset from the most stable computed form: 43 meV per atom
- Symmetry: R-3m
- Volume: 74.4 Å³/cell
- DOS(E_F): 5.1 states/eV per cell
- Formation energy from the elements: 0.40 eV/atom

POSCAR file:
```
LaCr2Fe
1.0
1.989 1.148 5.427
-1.989 1.148 5.427
0.000 -2.297 5.427
La Cr Fe
1 2 1
Direct
0.000 0.000 0.000
0.195 0.195 0.195
0.805 0.805 0.805
0.500 0.500 0.500
```

=====

# 4
Compound: KNaSb2
Source: the Alexandria database
Functional: PBE-GGA
Structure: optimized geometry

Summary:
- Offset from the most stable computed form: 225 meV per atom
- Symmetry: Fm-3m
- Volume: 121.8 Å³/cell
- Energy relative to the elements, uncorrected: -101.1 meV per atom
- DOS(E_F): 2.2 states/eV per cell

POSCAR file:
```
KNaSb2
1.0
0.000 3.935 3.935
3.935 0.000 3.935
3.935 3.935 0.000
K Na Sb
1 1 2
Direct
0.000 0.000 0.000
0.500 0.500 0.500
0.250 0.250 0.250
0.750 0.750 0.750
```

=====

# 5
Compound: Rb5SiTe4
Source: the Alexandria database
Functional: PBE-GGA
Structure: optimized geometry

Summary:
- Symmetry: Pmmn
- Volume: 1030.5 Å³/cell
- Energy relative to the elements, uncorrected: -720.1 meV per atom
- DOS(E_F): 10.1 states/eV per cell

POSCAR file:
```
Rb5SiTe4
1.0
10.614 0.000 0.000
0.000 11.245 0.000
0.000 0.000 8.634
Rb Si Te
10 2 8
Direct
0.010 0.056 0.236
0.010 0.444 0.236
0.250 0.750 0.354
0.490 0.056 0.236
0.490 0.444 0.236
0.510 0.556 0.764
0.510 0.944 0.764
0.750 0.250 0.646
0.990 0.556 0.764
0.990 0.944 0.764
0.250 0.250 0.715
0.750 0.750 0.285
0.039 0.250 0.888
0.250 0.052 0.538
0.250 0.448 0.538
0.461 0.250 0.888
0.539 0.750 0.112
0.750 0.552 0.462
0.750 0.948 0.462
0.961 0.750 0.112
```

=====

# 6
Compound: La4PtRh
Source: the Alexandria database
Functional: PBE-GGA
Structure: optimized geometry

Summary:
- Offset from the most stable computed form: 27 meV per atom
- Symmetry: C2/c
- Volume: 384.8 Å³/cell
- DOS(E_F): 14.1 states/eV per cell
- Formation energy from the elements: -0.66 eV/atom

POSCAR file:
```
La4PtRh
1.0
4.296 -7.693 0.000
4.296 7.693 0.000
-4.277 0.000 5.821
La Pt Rh
8 2 2
Direct
0.024 0.441 0.235
0.204 0.293 0.748
0.293 0.204 0.248
0.441 0.024 0.735
0.559 0.976 0.265
0.707 0.796 0.752
0.796 0.707 0.252
0.976 0.559 0.765
0.409 0.591 0.250
0.591 0.409 0.750
0.088 0.912 0.750
0.912 0.088 0.250
```

=====

# 7
Compound: Cs2YAsO4
Source: the Alexandria database
Functional: PBE-GGA
Structure: optimized geometry

Summary:
- Symmetry: Fddd
- Volume: 458.5 Å³/cell
- Energy relative to the elements, uncorrected: -1668.1 meV per atom
- DOS(E_F): 0.0 states/eV per cell

POSCAR file:
```
Cs2YAsO4
1.0
0.000 6.687 11.572
2.962 0.000 11.572
2.962 6.687 0.000
Cs Y As O
4 2 2 8
Direct
0.056 0.056 0.694
0.306 0.306 0.944
0.694 0.694 0.056
0.944 0.944 0.306
0.125 0.125 0.125
0.875 0.875 0.875
0.375 0.375 0.375
0.625 0.625 0.625
0.014 0.654 0.567
0.264 0.567 0.654
0.346 0.986 0.736
0.433 0.736 0.986
0.567 0.264 0.014
0.654 0.014 0.264
0.736 0.433 0.346
0.986 0.346 0.433
```

=====

# 8
Compound: Na2TcBi2O6
Source: the Alexandria database
Functional: PBE-GGA
Structure: optimized geometry

Summary:
- Symmetry: C2/m
- Volume: 175.6 Å³/cell
- Energy relative to the elements, uncorrected: -1295.0 meV per atom

POSCAR file:
```
Na2TcBi2O6
1.0
3.018 -5.060 0.000
3.018 5.060 0.000
-1.546 0.000 5.751
Na Tc Bi O
2 1 2 6
Direct
0.147 0.853 0.000
0.853 0.147 0.000
0.000 0.000 0.500
0.337 0.663 0.500
0.663 0.337 0.500
0.037 0.346 0.693
0.216 0.216 0.287
0.346 0.037 0.693
0.654 0.963 0.307
0.784 0.784 0.713
0.963 0.654 0.307
```

=====

# 9
Compound: Ho3TlRu
Source: the Alexandria database
Functional: PBE-GGA
Structure: optimized geometry

Summary:
- Offset from the most stable computed form: 207 meV per atom
- Symmetry: Pm-3m
- Volume: 148.4 Å³/cell
- DOS(E_F): 3.3 states/eV per cell
- Formation energy from the elements: -0.16 eV/atom

POSCAR file:
```
Ho3TlRu
1.0
5.294 0.000 0.000
0.000 5.294 0.000
0.000 0.000 5.294
Ho Tl Ru
3 1 1
Direct
0.000 0.000 0.500
0.000 0.500 0.000
0.500 0.000 0.000
0.500 0.500 0.500
0.000 0.000 0.000
```

=====

# 10
Compound: Co2TePb
Source: the Alexandria database
Functional: PBE-GGA
Structure: optimized geometry

Summary:
- Offset from the most stable computed form: 234 meV per atom
- Symmetry: Imm2
- Volume: 75.7 Å³/cell
- Energy relative to the elements, uncorrected: 358.7 meV per atom
- DOS(E_F): 4.1 states/eV per cell

POSCAR file:
```
Co2TePb
1.0
-1.609 1.905 6.172
1.609 -1.905 6.172
1.609 1.905 -6.172
Co Te Pb
2 1 1
Direct
0.000 0.000 0.000
0.823 0.323 0.500
0.457 0.457 0.000
0.201 0.701 0.500
```

=====

# 11
Compound: Li3Zn3Au2
Source: the Alexandria database
Functional: PBE-GGA
Structure: optimized geometry

Summary:
- Offset from the most stable computed form: 0 meV per atom
- Symmetry: R32
- Volume: 122.6 Å³/cell
- DOS(E_F): 1.7 states/eV per cell
- Formation energy from the elements: -0.35 eV/atom

POSCAR file:
```
Li3Zn3Au2
1.0
3.703 2.138 2.581
-3.703 2.138 2.581
0.000 -4.276 2.581
Li Zn Au
3 3 2
Direct
0.000 0.255 0.745
0.255 0.745 0.000
0.745 0.000 0.255
0.202 0.798 0.500
0.500 0.202 0.798
0.798 0.500 0.202
0.284 0.284 0.284
0.716 0.716 0.716
```

=====

# 12
Compound: CdSbTe2
Source: the Alexandria database
Functional: PBE-GGA
Structure: optimized geometry

Summary:
- Offset from the most stable computed form: 56 meV per atom
- Symmetry: C2/m
- Volume: 120.2 Å³/cell
- Energy relative to the elements, uncorrected: -102.8 meV per atom
- DOS(E_F): 1.2 states/eV per cell

POSCAR file:
```
CdSbTe2
1.0
3.068 -4.419 0.000
3.068 4.419 0.000
-3.046 0.000 4.433
Cd Sb Te
1 1 2
Direct
0.000 0.000 0.000
0.500 0.500 0.000
0.000 0.500 0.500
0.500 0.000 0.500
```

=====

Question: Which of these has the lowest volume?
Answer: LiCu2Ru

=====

Question: Number 3 is which compound?
Answer: LaCr2Fe